## KAc2Sc3O8 (GGA-PBE)

Data for crystalline KAc2Sc3O8 at its relaxed geometry.

Values from the calculation:
space group	R3m (160)

```
KAc2Sc3O8
1.0
3.355 1.937 5.923
-3.355 1.937 5.923
0.000 -3.874 5.923
K Ac Sc O
1 2 3 8
direct
0.000 0.000 0.000
0.247 0.247 0.247
0.628 0.628 0.628
0.112 0.630 0.630
0.630 0.112 0.630
0.630 0.630 0.112
0.378 0.378 0.824
0.378 0.824 0.378
0.390 0.390 0.390
0.445 0.871 0.871
0.824 0.378 0.378
0.853 0.853 0.853
0.871 0.445 0.871
0.871 0.871 0.445
```

## K3AcSe4O12 (GGA-PBE)

Data for crystalline K3AcSe4O12 at its relaxed geometry.

Values from the calculation:
space group	R32 (155)

```
K3AcSe4O12
1.0
6.240 3.602 3.037
-6.240 3.602 3.037
0.000 -7.205 3.037
K Ac Se O
3 1 4 12
direct
0.000 0.540 0.460
0.460 0.000 0.540
0.540 0.460 0.000
0.000 0.000 0.000
0.052 0.500 0.948
0.500 0.500 0.500
0.500 0.948 0.052
0.948 0.052 0.500
0.017 0.163 0.336
0.082 0.918 0.500
0.163 0.336 0.017
0.336 0.017 0.163
0.367 0.633 0.500
0.500 0.082 0.918
0.500 0.367 0.633
0.633 0.500 0.367
0.664 0.837 0.983
0.837 0.983 0.664
0.918 0.500 0.082
0.983 0.664 0.837
```

## KAcSeO4 (GGA-PBE)

Data for crystalline KAcSeO4 at its relaxed geometry.

Values from the calculation:
space group	Imma (74)

```
KAcSeO4
1.0
-3.635 3.732 4.948
3.635 -3.732 4.948
3.635 3.732 -4.948
K Ac Se O
2 2 2 8
direct
0.500 0.000 0.000
0.500 0.500 0.500
0.000 0.000 0.000
0.500 0.000 0.500
0.132 0.382 0.750
0.868 0.618 0.250
0.158 0.724 0.434
0.209 0.276 0.934
0.242 0.208 0.466
0.242 0.776 0.034
0.758 0.224 0.966
0.758 0.792 0.534
0.791 0.724 0.066
0.842 0.276 0.566
```

## KAcSeO5 (GGA-PBE)

Data for crystalline KAcSeO5 at its relaxed geometry.

Values from the calculation:
space group	C2/c (15)

```
KAcSeO5
1.0
4.043 -5.195 0.000
4.043 5.195 0.000
-3.499 0.000 7.759
K Ac Se O
2 2 2 10
direct
0.172 0.828 0.750
0.828 0.172 0.250
0.500 0.500 0.000
0.500 0.500 0.500
0.174 0.826 0.250
0.826 0.174 0.750
0.080 0.235 0.892
0.178 0.643 0.357
0.235 0.080 0.392
0.357 0.822 0.143
0.416 0.584 0.750
0.584 0.416 0.250
0.643 0.178 0.857
0.765 0.920 0.608
0.822 0.357 0.643
0.920 0.765 0.108
```

## KAcSeO (GGA-PBE)

Data for crystalline KAcSeO at its relaxed geometry.

Values from the calculation:
space group	R3m (160)

```
KAcSeO
1.0
2.085 1.204 7.264
-2.085 1.204 7.264
0.000 -2.408 7.264
K Ac Se O
1 1 1 1
direct
0.000 0.000 0.000
0.517 0.517 0.517
0.760 0.760 0.760
0.226 0.226 0.226
```

## K2AcSeO6 (GGA-PBE)

Data for crystalline K2AcSeO6 at its relaxed geometry.

Values from the calculation:
space group	P-3m1 (164)

```
K2AcSeO6
1.0
6.345 0.000 0.000
-3.173 5.495 0.000
0.000 0.000 6.255
K Ac Se O
2 1 1 6
direct
0.333 0.667 0.071
0.667 0.333 0.929
0.000 0.000 0.500
0.000 0.000 0.000
0.135 0.269 0.826
0.135 0.865 0.826
0.269 0.135 0.174
0.731 0.865 0.826
0.865 0.135 0.174
0.865 0.731 0.174
```

## KAcSiO4 (GGA-PBE)

Data for crystalline KAcSiO4 at its relaxed geometry.

Values from the calculation:
space group	Cmcm (63)

```
KAcSiO4
1.0
3.126 -4.977 0.000
3.126 4.977 0.000
0.000 0.000 7.495
K Ac Si O
2 2 2 8
direct
0.000 0.000 0.000
0.000 0.000 0.500
0.322 0.678 0.750
0.678 0.322 0.250
0.362 0.638 0.250
0.638 0.362 0.750
0.260 0.326 0.250
0.267 0.733 0.071
0.267 0.733 0.429
0.326 0.260 0.750
0.674 0.740 0.250
0.733 0.267 0.571
0.733 0.267 0.929
0.740 0.674 0.750
```

## KAcSi2O6 (GGA-PBE)

Data for crystalline KAcSi2O6 at its relaxed geometry.

Values from the calculation:
space group	C2/c (15)

```
KAcSi2O6
1.0
4.035 -5.734 0.000
4.035 5.734 0.000
-2.036 0.000 6.906
K Ac Si O
2 2 4 12
direct
0.034 0.966 0.750
0.966 0.034 0.250
0.400 0.600 0.250
0.600 0.400 0.750
0.173 0.511 0.627
0.489 0.827 0.873
0.511 0.173 0.127
0.827 0.489 0.373
0.061 0.480 0.359
0.222 0.297 0.602
0.284 0.615 0.887
0.297 0.222 0.102
0.385 0.716 0.613
0.480 0.061 0.859
0.520 0.939 0.141
0.615 0.284 0.387
0.703 0.778 0.898
0.716 0.385 0.113
0.778 0.703 0.398
0.939 0.520 0.641
```

## K2Ac2SiO6 (GGA-PBE)

Data for crystalline K2Ac2SiO6 at its relaxed geometry.

Values from the calculation:
space group	C2/m (12)

```
K2Ac2SiO6
1.0
3.088 -5.198 0.000
3.088 5.198 0.000
-1.347 0.000 6.439
K Ac Si O
2 2 1 6
direct
0.145 0.855 0.000
0.855 0.145 0.000
0.336 0.664 0.500
0.664 0.336 0.500
0.000 0.000 0.500
0.034 0.302 0.659
0.205 0.205 0.332
0.302 0.034 0.659
0.698 0.966 0.341
0.795 0.795 0.668
0.966 0.698 0.341
```

## KAc2SiO6 (GGA-PBE)

Data for crystalline KAc2SiO6 at its relaxed geometry.

Values from the calculation:
space group	P4mm (99)

```
KAc2SiO6
1.0
5.627 0.000 0.000
0.000 5.627 0.000
0.000 0.000 5.189
K Ac Si O
1 2 1 6
direct
0.000 0.000 0.000
0.000 0.500 0.465
0.500 0.000 0.465
0.500 0.500 0.073
0.000 0.000 0.534
0.291 0.291 0.182
0.291 0.709 0.182
0.500 0.500 0.749
0.709 0.291 0.182
0.709 0.709 0.182
```

## K3AcSm2O6 (GGA-PBE)

Data for crystalline K3AcSm2O6 at its relaxed geometry.

Values from the calculation:
space group	C2/m (12)

```
K3AcSm2O6
1.0
8.270 -1.835 0.000
8.270 1.835 0.000
-2.100 0.000 7.326
K Ac Sm O
3 1 2 6
direct
0.000 0.000 0.000
0.330 0.330 0.668
0.670 0.670 0.332
0.000 0.000 0.500
0.330 0.330 0.160
0.670 0.670 0.840
0.159 0.159 0.629
0.182 0.182 0.051
0.482 0.482 0.268
0.518 0.518 0.732
0.818 0.818 0.949
0.841 0.841 0.371
```

## KAc4SmO8 (GGA-PBE)

Data for crystalline KAc4SmO8 at its relaxed geometry.

Values from the calculation:
space group	R3m (160)

```
KAc4SmO8
1.0
3.796 2.191 6.014
-3.796 2.191 6.014
0.000 -4.383 6.014
K Ac Sm O
1 4 1 8
direct
0.000 0.000 0.000
0.121 0.628 0.628
0.250 0.250 0.250
0.628 0.121 0.628
0.628 0.628 0.121
0.630 0.630 0.630
0.382 0.382 0.382
0.389 0.389 0.850
0.389 0.850 0.389
0.443 0.846 0.846
0.846 0.443 0.846
0.846 0.846 0.443
0.850 0.389 0.389
0.854 0.854 0.854
```

Number 1: E_form (uncorrected) -3.1128 eV/atom. Number 2: E_form (uncorrected) -1.0785 eV/atom. Number 3: E_form (uncorrected) -1.7011 eV/atom. Number 4: E_form (uncorrected) -1.7999 eV/atom. Number 5: E_form (uncorrected) -2.1133 eV/atom. Number 6: E_form (uncorrected) -1.4844 eV/atom. Number 7: E_form (uncorrected) -2.7873 eV/atom. Number 8: E_form (uncorrected) -2.7743 eV/atom. Number 9: E_form (uncorrected) -2.4024 eV/atom. Number 10: E_form (uncorrected) -2.5354 eV/atom. Number 11: E_form (uncorrected) -2.6187 eV/atom. Number 12: E_form (uncorrected) -3.0411 eV/atom.